Compound: K2BaMoO4
Source: the Alexandria database
Functional: PBE with a Hubbard U
Structure: relaxed

Lattice parameters (Å, degrees): 7.336 7.070 5.371 70.77 65.49 43.74
Fractional positions:
K 0.000 0.000 0.500
K 0.500 0.500 0.000
Ba 0.254 0.254 0.746
Mo 0.744 0.744 0.256
O 0.058 0.677 0.942
O 0.469 0.859 0.141
O 0.677 0.058 0.323
O 0.859 0.469 0.531

Crystal system   orthorhombic
E_tot   -5.55 eV per atom
Calculated density   3.56 Mg/m³